The following is a PBE-GGA calculation of an optimized crystal structure of GeTe3Mo, from Alexandria.

a = 5.311 Å, b = 5.311 Å, c = 5.311 Å
α = 90.00°, β = 90.00°, γ = 90.00°
Element x y z (fractional)
Ge: 0.000 0.000 0.000
Te: 0.000 0.500 0.500
Te: 0.500 0.000 0.500
Te: 0.500 0.500 0.000
Mo: 0.500 0.500 0.500

Computed properties:
E ... -4.357 eV/atom
Formation energy from raw total energies ... 0.617 eV/atom